# TbPmMnCd

TbPmMnCd after structural relaxation (PBE, Alexandria).

Results
* DFT total energy: -4.87 eV/atom
* calculated density: 7.7 g/cm³
* SG: F-43m

Unit cell a=7.411 b=7.411 c=7.411 alpha=90.00 beta=90.00 gamma=90.00
Element x y z (fractional)
Tb1 0.000 0.000 0.000
Tb2 0.000 0.500 0.500
Tb3 0.500 0.000 0.500
Tb4 0.500 0.500 0.000
Pm1 0.000 0.000 0.500
Pm2 0.000 0.500 0.000
Pm3 0.500 0.000 0.000
Pm4 0.500 0.500 0.500
Mn1 0.250 0.250 0.250
Mn2 0.250 0.750 0.750
Mn3 0.750 0.250 0.750
Mn4 0.750 0.750 0.250
Cd1 0.250 0.250 0.750
Cd2 0.250 0.750 0.250
Cd3 0.750 0.250 0.250
Cd4 0.750 0.750 0.750